TmZnAgAu: relaxed, GGA-PBE.

It has space group F-43m (No. 216), with a = 6.7673 Å, b = 6.7673 Å, c = 6.7673 Å, α = 90.00°, β = 90.00° and γ = 90.00°. The distinct sites, in fractional coordinates, are Tm at (0.0000, 0.0000, 0.0000), Zn at (0.0000, 0.0000, 0.5000), Ag at (0.2500, 0.2500, 0.7500) and Au at (0.2500, 0.2500, 0.2500).

Its crystal system is cubic. The calculation puts the energy of formation from the pure elements at -446 meV/atom. The value obtained for the volume is 309.92 Å³ per cell.

TaCdF2: relaxed, GGA-PBE.

It has space group R-3m (No. 166, hexagonal axes), with a = 3.0597 Å, b = 3.0597 Å, c = 28.5078 Å, α = 90.00°, β = 90.00° and γ = 120.00°. The distinct sites, in fractional coordinates, are Ta at (0.0000, 0.0000, 0.0000), Cd at (0.0000, 0.0000, 0.5000) and F at (0.0000, 0.0000, 0.0667).

Its crystal system is trigonal. The formation energy from raw total energies comes out at -1.5756 eV per atom. The energy above the most stable polymorph in this dataset is 0 meV/atom. The value obtained for the volume is 231.12 Å³ per cell.

CeCdH8Ru2: relaxed, GGA-PBE.

It has space group P-3m1 (No. 164), with a = 4.7545 Å, b = 4.7545 Å, c = 7.0033 Å, α = 90.00°, β = 90.00° and γ = 120.00°. The distinct sites, in fractional coordinates, are Ce at (0.0000, 0.0000, 0.0000), Cd at (0.0000, 0.0000, 0.5000), H at (0.1470, 0.2940, 0.2638), H at (0.3333, 0.6667, 0.0943) and Ru at (0.3333, 0.6667, 0.3280).

Its crystal system is trigonal. For the uncorrected energy, the calculation gives -0.30948 Ry per atom. The value obtained for the volume is 137.10 Å³ per cell.

Please write out number 1 again, unchanged.
TmZnAgAu: relaxed, GGA-PBE.

It has space group F-43m (No. 216), with a = 6.7673 Å, b = 6.7673 Å, c = 6.7673 Å, α = 90.00°, β = 90.00° and γ = 90.00°. The distinct sites, in fractional coordinates, are Tm at (0.0000, 0.0000, 0.0000), Zn at (0.0000, 0.0000, 0.5000), Ag at (0.2500, 0.2500, 0.7500) and Au at (0.2500, 0.2500, 0.2500).

Its crystal system is cubic. The calculation puts the energy of formation from the pure elements at -446 meV/atom. The value obtained for the volume is 309.92 Å³ per cell.